{"formula": "PuVO3", "functional": "PBE with a Hubbard U", "state": "relaxed", "cell": [[6.293, 0.000, -0.336], [0.000, 5.470, 0.000], [-0.504, 0.000, 7.300]], "species": ["Pu", "Pu", "Pu", "Pu", "V", "V", "V", "V", "O", "O", "O", "O", "O", "O", "O", "O", "O", "O", "O", "O"], "fractional_positions": [[0.364, 0.274, 0.835], [0.636, 0.726, 0.165], [0.636, 0.774, 0.665], [0.364, 0.226, 0.335], [0.087, 0.743, 0.430], [0.913, 0.257, 0.570], [0.913, 0.243, 0.070], [0.087, 0.757, 0.930], [0.047, 0.924, 0.670], [0.953, 0.076, 0.330], [0.953, 0.424, 0.830], [0.047, 0.576, 0.170], [0.201, 0.419, 0.552], [0.799, 0.581, 0.448], [0.799, 0.919, 0.948], [0.201, 0.081, 0.052], [0.399, 0.816, 0.388], [0.601, 0.184, 0.612], [0.601, 0.316, 0.112], [0.399, 0.684, 0.888]], "total_energy_ev_per_atom": -9.778, "volume_a3_per_cell": 250.4}